A plane-wave DFT calculation with PBE was carried out for a relaxed structure of ErIrW.

```
ErIrW
1.0
0.000 3.200 3.200
3.200 0.000 3.200
3.200 3.200 0.000
Er Ir W
1 1 1
direct
0.000 0.000 0.000 Er
0.750 0.750 0.750 Ir
0.250 0.250 0.250 W
```

Formation energy from the elements, meV/atom: 1310
Spin magnetization, μB/cell: 2.44
Final energy, eV/cell: -22.4